[1]
MnP2RuSe: relaxed, PBE.

Output
Space group   Cm, No. 8
Crystal system   monoclinic
Formation energy from raw total energies   -219 meV/atom
E_tot   -33.85 eV per formula unit
Offset from the most stable computed form   0.077 eV/atom

a b c (Å): 5.4755 5.4755 5.2305
angles (deg): 115.07 115.07 32.29
Fractional coordinates of all 5 atoms:
Mn: 0.0000 0.0000 0.0000
P: 0.6631 0.6631 0.2844
P: 0.7602 0.7602 0.7751
Ru: 0.2998 0.2998 0.1398
Se: 0.4857 0.4857 0.6410



[2]
MnP2RuSe: relaxed, PBE.

Output
Space group   Cm, No. 8
Crystal system   monoclinic
Formation energy from raw total energies   -169 meV/atom
E_tot   -33.59 eV per formula unit
Offset from the most stable computed form   0.127 eV/atom

a b c (Å): 4.2009 4.2009 6.6732
angles (deg): 111.42 111.42 44.39
Fractional coordinates of all 5 atoms:
Mn: 0.0000 0.0000 0.0000
P: 0.6137 0.6137 0.3029
P: 0.7283 0.7283 0.0463
Ru: 0.9575 0.9575 0.4232
Se: 0.3427 0.3427 0.6911



[3]
MnP2RuSe: relaxed, PBE.

Output
Space group   Pm, No. 6
Crystal system   monoclinic
Formation energy from raw total energies   -192 meV/atom
E_tot   -33.71 eV per formula unit
Offset from the most stable computed form   0.104 eV/atom

a b c (Å): 4.6782 3.6819 5.6705
angles (deg): 90.00 113.85 90.00
Fractional coordinates of all 5 atoms:
Mn: 0.0000 0.0000 0.0000
P: 0.6510 0.0000 0.5631
P: 0.9969 0.0000 0.3944
Ru: 0.3020 0.5000 0.3904
Se: 0.3128 0.5000 0.9599



[4]
MnP2RuSe: relaxed, PBE.

Output
Space group   Pm, No. 6
Crystal system   monoclinic
Formation energy from raw total energies   -296 meV/atom
E_tot   -34.23 eV per formula unit
Offset from the most stable computed form   0.000 eV/atom

a b c (Å): 5.1893 2.9225 5.2342
angles (deg): 90.00 112.35 90.00
Fractional coordinates of all 5 atoms:
Mn: 0.0000 0.0000 0.0000
P: 0.3565 0.5000 0.1409
P: 0.6427 0.5000 0.9160
Ru: 0.4834 0.0000 0.5274
Se: 0.9948 0.0000 0.5403



[5]
MnP2RuSe: relaxed, PBE.

Output
Space group   Cm, No. 8
Crystal system   monoclinic
Formation energy from raw total energies   -103 meV/atom
E_tot   -33.27 eV per formula unit
Offset from the most stable computed form   0.193 eV/atom

a b c (Å): 5.7350 5.7350 5.0750
angles (deg): 111.72 111.72 30.17
Fractional coordinates of all 5 atoms:
Mn: 0.0000 0.0000 0.0000
P: 0.0122 0.0122 0.5505
P: 0.6410 0.6410 0.3646
Ru: 0.3339 0.3339 0.5122
Se: 0.3289 0.3289 0.9982



[6]
MnP2RuSe: relaxed, PBE.

Output
Space group   Cm, No. 8
Crystal system   monoclinic
Formation energy from raw total energies   -21 meV/atom
E_tot   -32.85 eV per formula unit
Offset from the most stable computed form   0.275 eV/atom

a b c (Å): 4.5607 4.5607 6.2341
angles (deg): 112.01 112.01 44.68
Fractional coordinates of all 5 atoms:
Mn: 0.0000 0.0000 0.0000
P: 0.0374 0.0374 0.6565
P: 0.3986 0.3986 0.1444
Ru: 0.8062 0.8062 0.2927
Se: 0.7339 0.7339 0.6413



[7]
MnP2RuSe: relaxed, PBE.

Output
Space group   Cm, No. 8
Crystal system   monoclinic
Formation energy from raw total energies   -198 meV/atom
E_tot   -33.74 eV per formula unit
Offset from the most stable computed form   0.098 eV/atom

a b c (Å): 5.4984 5.4984 5.2271
angles (deg): 102.10 102.10 31.28
Fractional coordinates of all 5 atoms:
Mn: 0.0000 0.0000 0.0000
P: 0.2009 0.2009 0.2667
P: 0.3393 0.3393 0.9987
Ru: 0.7736 0.7736 0.6185
Se: 0.5441 0.5441 0.6711



[8]
MnP2RuSe: relaxed, PBE.

Output
Space group   P1, No. 1
Crystal system   triclinic
Formation energy from raw total energies   -215 meV/atom
E_tot   -33.82 eV per formula unit
Offset from the most stable computed form   0.081 eV/atom

a b c (Å): 3.6711 4.2461 6.7657
angles (deg): 80.93 82.67 89.93
Fractional coordinates of all 5 atoms:
Mn: 0.0000 0.0000 0.0000
P: 0.0272 0.5170 0.8865
P: 0.4518 0.9397 0.2069
Ru: 0.4804 0.4708 0.0848
Se: 0.0671 0.9191 0.6369



> Which value of formation energy from raw total energies does entry 6 give?

-21 meV/atom



Repeat the eighth record exactly.
MnP2RuSe: relaxed, PBE.

Output
Space group   P1, No. 1
Crystal system   triclinic
Formation energy from raw total energies   -215 meV/atom
E_tot   -33.82 eV per formula unit
Offset from the most stable computed form   0.081 eV/atom

a b c (Å): 3.6711 4.2461 6.7657
angles (deg): 80.93 82.67 89.93
Fractional coordinates of all 5 atoms:
Mn: 0.0000 0.0000 0.0000
P: 0.0272 0.5170 0.8865
P: 0.4518 0.9397 0.2069
Ru: 0.4804 0.4708 0.0848
Se: 0.0671 0.9191 0.6369



> The highest formation energy from raw total energies belongs to which entry?

number 6



> Among the records above, which one has the lowest offset from the most stable computed form?

number 4